This record from Alexandria via LeMat-Bulk describes a geometry-optimized Li2TbI6 structure. The functional is GGA-PBE.

Calculated values
The raw formation energy is -1.057 eV/atom.

Cell: 14.3003 4.5465 13.4070 Å, 90.00 120.85 90.00°
Closest atoms and distances in Å follow each position.
Space group C2/m (No. 12)
Unique sites:
Li (0.1237, 0.0000, 0.2027)  4 I 2.77-2.95
Tb (0.0000, 0.0000, 0.5000)  6 I 2.98-3.11
I (0.0373, 0.0000, 0.7401)  1 Li 2.77, 1 Tb 2.98
I (0.1333, 0.5000, 0.0897)  2 Li 2.77
I (0.1708, 0.5000, 0.5702)  1 Li 2.95, 2 Tb 3.11


This record from Alexandria via LeMat-Bulk describes a geometry-optimized LiTbI2 structure. The functional is GGA-PBE.

Calculated values
The raw formation energy is -0.787 eV/atom.

Cell: 3.9781 3.9781 29.6194 Å, 90.00 90.00 120.00°
Closest atoms and distances in Å follow each position.
Space group R-3m (No. 166, hexagonal axes)
Unique sites:
Li (0.0000, 0.0000, 0.0000)  2 I 2.81
Tb (0.0000, 0.0000, 0.5000)  6 I 3.13
I (0.0000, 0.0000, 0.0948)  1 Li 2.81, 3 Tb 3.13


This record from Alexandria via LeMat-Bulk describes a geometry-optimized Li3TbI6 structure. The functional is GGA-PBE.

Calculated values
The raw formation energy is -1.201 eV/atom.

Cell: 8.4899 8.4912 8.4927 Å, 61.25 61.24 61.22°
Closest atoms and distances in Å follow each position.
Space group P-1 (No. 2)
Unique sites:
Li (0.0000, 0.0000, 0.0000)  6 I 3.01-3.04
Li (0.0000, 0.5000, 0.5000)  4 I 2.79-3.03
Li (0.5000, 0.0000, 0.5000)  4 I 2.79-3.03
Tb (0.5000, 0.5000, 0.5000)  6 I 3.04-3.05
I (0.2288, 0.7320, 0.2703)  2 Li 2.79-3.04, 1 Tb 3.04
I (0.2484, 0.2484, 0.7517)  3 Li 3.01-3.03, 1 Tb 3.05
I (0.2721, 0.7672, 0.7338)  2 Li 2.79-3.04, 1 Tb 3.04


This record from Alexandria via LeMat-Bulk describes a geometry-optimized Li2TbTlI6 structure. The functional is GGA-PBE.

Calculated values
The raw formation energy is -1.140 eV/atom.

Cell: 7.8546 7.8546 21.6432 Å, 90.00 90.00 120.00°
Closest atoms and distances in Å follow each position.
Space group R3 (No. 146, hexagonal axes)
Unique sites:
Li (0.0000, 0.0000, 0.0000)  6 I 3.09-3.11
Li (0.0000, 0.0000, 0.4943)  6 I 2.97-3.17
Tb (0.0000, 0.0000, 0.8150)  6 I 3.06-3.07
Tl (0.0000, 0.0000, 0.3011)  6 I 3.42-3.56
I (0.0035, 0.3290, 0.0789)  1 Tb 3.06, 2 Li 3.09-3.17
I (0.0702, 0.7296, 0.5724)  2 Li 2.97-3.11, 1 Tb 3.07


This record from Alexandria via LeMat-Bulk describes a geometry-optimized Li2TcI structure. The functional is GGA-PBE.

Calculated values
The raw formation energy is 0.516 eV/atom.

Cell: 7.6337 7.6337 5.3989 Å, 90.00 90.00 90.00°
Closest atoms and distances in Å follow each position.
Space group I-42d (No. 122)
Unique sites:
Li (0.2418, 0.2500, 0.1250)  2 Li 2.70, 2 I 2.74, 2 Tc 2.83
Tc (0.0000, 0.0000, 0.5000)  2 I 2.70, 4 Li 2.83
I (0.0000, 0.0000, 0.0000)  2 Tc 2.70, 4 Li 2.74


This record from Alexandria via LeMat-Bulk describes a geometry-optimized Li3TcI structure. The functional is GGA-PBE.

Calculated values
The raw formation energy is 0.681 eV/atom.

Cell: 5.1061 5.1061 5.1061 Å, 90.00 90.00 90.00°
Closest atoms and distances in Å follow each position.
Space group Pm-3m (No. 221)
Unique sites:
Li (0.0000, 0.0000, 0.5000)  2 I 2.55
Tc (0.5000, 0.5000, 0.5000)  12 Li 3.61
I (0.0000, 0.0000, 0.0000)  6 Li 2.55


This record from Alexandria via LeMat-Bulk describes a geometry-optimized LiTcI6 structure. The functional is GGA-PBE.

Calculated values
The raw formation energy is -0.272 eV/atom.

Cell: 7.0091 13.4362 7.4267 Å, 90.00 112.95 90.00°
Closest atoms and distances in Å follow each position.
Space group C2/m (No. 12)
Unique sites:
Li (0.0000, 0.0000, 0.0000)  4 I 2.84
Tc (0.0000, 0.5000, 0.5000)  6 I 2.71-2.75
I (0.2216, 0.3552, 0.7580)  1 Tc 2.75, 1 Li 2.84
I (0.2228, 0.0000, 0.6727)  1 Tc 2.71


This record from Alexandria via LeMat-Bulk describes a geometry-optimized Li3TcI8 structure. The functional is GGA-PBE.

Calculated values
The raw formation energy is -0.567 eV/atom.

Cell: 7.7727 12.1039 8.7777 Å, 90.00 90.00 90.00°
Closest atoms and distances in Å follow each position.
Space group C222 (No. 21)
Unique sites:
Li (0.0000, 0.0000, 0.0000)  6 I 2.91-3.09
Li (0.2500, 0.2500, 0.7594)  6 I 2.87-3.01
Tc (0.0000, 0.0000, 0.5000)  6 I 2.74-2.75
I (0.0000, 0.2261, 0.5000)  1 Tc 2.74, 2 Li 3.01
I (0.0000, 0.2401, 0.0000)  3 Li 2.87-2.91
I (0.2466, 0.0071, 0.7239)  1 Tc 2.75, 1 Li 2.96